Record 1
Computed, not measured: TbHfPa2As4 after structural relaxation at the GGA-PBE level of DFT.

Cell lengths 6.9457, 4.0514, 7.0012 Å; angles 90.00, 109.69, 90.00 degrees
Space group P2/m (No. 10)
Asymmetric unit:
Tb: 0.0000 0.0000 0.0000 [1 per cell]
Hf: 0.0000 0.5000 0.5000 [1 per cell]
Pa: 0.5000 0.0000 0.5000 [1 per cell]
Pa: 0.5000 0.5000 0.0000 [1 per cell]
As: 0.2384 0.0000 0.7385 [2 per cell]
As: 0.2442 0.5000 0.2563 [2 per cell]

* formation energy from the elements: -26.21 kcal/mol of atoms

---

Record 2
Computed, not measured: NpGaIr after structural relaxation at the GGA-PBE level of DFT.

Cell lengths 4.5722, 4.5722, 2.9923 Å; angles 90.00, 90.00, 120.00 degrees
Space group P-6m2 (No. 187)
Asymmetric unit:
Np: 0.0000 0.0000 0.0000 [1 per cell]
Ga: 0.3333 0.6667 0.5000 [1 per cell]
Ir: 0.6667 0.3333 0.5000 [1 per cell]

* formation energy from the elements: -8.21 kcal/mol of atoms

---

Record 3
Computed, not measured: Ce2SiRh after structural relaxation at the GGA-PBE level of DFT.

Cell lengths 4.3330, 4.3330, 4.2669 Å; angles 90.00, 90.00, 90.00 degrees
Space group P4/mmm (No. 123)
Asymmetric unit:
Ce: 0.0000 0.5000 0.0000 [2 per cell]
Si: 0.0000 0.0000 0.5000 [1 per cell]
Rh: 0.5000 0.5000 0.5000 [1 per cell]

* raw formation energy: -609 meV per atom

---

| no. | size of the total moment (μB per cell) | density of states at the Fermi level (states/eV/cell) |
| --- | --- | --- |
| 1 | 0.001 | 7.2 |
| 2 | 3.051 | 5.9 |
| 3 | 0.000 | 5.9 |